{"formula": "Zr4SiGe", "functional": "PBE", "state": "relaxed", "energy_ev_per_cell": -97.54, "lattice": [[6.653, 0.000, 0.000], [0.000, 6.653, 0.000], [0.000, 0.000, 5.379]], "species": ["Zr", "Zr", "Zr", "Zr", "Zr", "Zr", "Zr", "Zr", "Si", "Si", "Ge", "Ge"], "fractional_positions": [[0.154, 0.339, 0.000], [0.154, 0.661, 0.500], [0.339, 0.154, 0.500], [0.339, 0.846, 0.000], [0.661, 0.154, 0.000], [0.661, 0.846, 0.500], [0.846, 0.339, 0.500], [0.846, 0.661, 0.000], [0.000, 0.000, 0.250], [0.000, 0.000, 0.750], [0.500, 0.500, 0.250], [0.500, 0.500, 0.750]]}


{"formula": "Y5AlGa2", "functional": "PBE", "state": "relaxed", "energy_ev_per_cell": -91.74, "formation_energy_ev_per_atom": -0.47, "lattice": [[-3.850, 3.850, 7.148], [3.850, -3.850, 7.148], [3.850, 3.850, -7.148]], "species": ["Y", "Y", "Y", "Y", "Y", "Y", "Y", "Y", "Y", "Y", "Al", "Al", "Ga", "Ga", "Ga", "Ga"], "fractional_positions": [[0.000, 0.000, 0.000], [0.024, 0.524, 0.839], [0.185, 0.024, 0.500], [0.315, 0.815, 0.839], [0.476, 0.315, 0.500], [0.500, 0.500, 0.000], [0.524, 0.685, 0.500], [0.685, 0.185, 0.161], [0.815, 0.976, 0.500], [0.976, 0.476, 0.161], [0.250, 0.250, 0.000], [0.750, 0.750, 0.000], [0.122, 0.378, 0.500], [0.378, 0.878, 0.255], [0.622, 0.122, 0.745], [0.878, 0.622, 0.500]]}


{"formula": "SnIrPdSe2", "functional": "PBE", "state": "relaxed", "energy_ev_per_cell": -23.07, "lattice": [[4.867, 0.000, 0.000], [0.000, 4.867, 0.000], [0.000, 0.000, 5.039]], "species": ["Sn", "Ir", "Pd", "Se", "Se"], "fractional_positions": [[0.000, 0.000, 0.000], [0.500, 0.500, 0.500], [0.500, 0.500, 0.000], [0.000, 0.500, 0.500], [0.500, 0.000, 0.500]]}


{"formula": "YInI2O", "functional": "PBE", "state": "relaxed", "relative_energy_mev_per_atom": 869, "energy_ev_per_cell": -19.72, "lattice": [[6.193, 0.000, 0.000], [0.000, 6.193, 0.000], [0.000, 0.000, 3.960]], "species": ["Y", "In", "I", "I", "O"], "fractional_positions": [[0.000, 0.000, 0.000], [0.500, 0.500, 0.500], [0.000, 0.500, 0.500], [0.500, 0.000, 0.500], [0.500, 0.500, 0.000]]}


{"formula": "RbMg6W", "functional": "PBE", "state": "relaxed", "relative_energy_mev_per_atom": 0, "energy_ev_per_cell": -19.57, "formation_energy_ev_per_atom": 0.49, "lattice": [[6.757, 0.000, 0.000], [0.000, 6.757, 0.000], [0.000, 0.000, 4.312]], "species": ["Rb", "Mg", "Mg", "Mg", "Mg", "Mg", "Mg", "W"], "fractional_positions": [[0.000, 0.000, 0.000], [0.000, 0.500, 0.000], [0.292, 0.292, 0.500], [0.292, 0.708, 0.500], [0.500, 0.000, 0.000], [0.708, 0.292, 0.500], [0.708, 0.708, 0.500], [0.500, 0.500, 0.000]]}


{"formula": "La2DyY7", "functional": "PBE", "state": "relaxed", "relative_energy_mev_per_atom": 139, "energy_ev_per_cell": -58.09, "formation_energy_ev_per_atom": 0.16, "lattice": [[3.302, -14.585, 0.000], [3.302, 14.585, 0.000], [0.000, 0.000, 3.533]], "species": ["La", "La", "Dy", "Y", "Y", "Y", "Y", "Y", "Y", "Y"], "fractional_positions": [[0.206, 0.794, 0.000], [0.794, 0.206, 0.000], [0.500, 0.500, 0.500], [0.000, 0.000, 0.000], [0.158, 0.353, 0.000], [0.315, 0.685, 0.500], [0.353, 0.158, 0.000], [0.647, 0.842, 0.000], [0.685, 0.315, 0.500], [0.842, 0.647, 0.000]]}


{"formula": "Sr2TaP2", "functional": "PBE", "state": "relaxed", "relative_energy_mev_per_atom": 982, "energy_ev_per_cell": -47.25, "formation_energy_ev_per_atom": 0.48, "lattice": [[4.272, 0.000, 0.000], [0.000, 4.272, 0.000], [0.000, 0.000, 12.379]], "species": ["Sr", "Sr", "Sr", "Sr", "Ta", "Ta", "P", "P", "P", "P"], "fractional_positions": [[0.000, 0.500, 0.250], [0.000, 0.500, 0.750], [0.500, 0.000, 0.250], [0.500, 0.000, 0.750], [0.000, 0.000, 0.000], [0.500, 0.500, 0.500], [0.000, 0.000, 0.414], [0.000, 0.000, 0.586], [0.500, 0.500, 0.086], [0.500, 0.500, 0.914]]}


{"formula": "TiCo3H", "functional": "PBE", "state": "relaxed", "relative_energy_mev_per_atom": 227, "energy_ev_per_cell": -65.61, "lattice": [[2.521, 1.456, 4.570], [-2.521, 1.456, 4.570], [0.000, -2.911, 4.570]], "species": ["Ti", "Ti", "Co", "Co", "Co", "Co", "Co", "Co", "H", "H"], "fractional_positions": [[0.111, 0.111, 0.111], [0.889, 0.889, 0.889], [0.098, 0.580, 0.580], [0.420, 0.420, 0.902], [0.420, 0.902, 0.420], [0.580, 0.098, 0.580], [0.580, 0.580, 0.098], [0.902, 0.420, 0.420], [0.321, 0.321, 0.321], [0.679, 0.679, 0.679]]}


{"formula": "ScTa2Ag", "functional": "PBE", "state": "relaxed", "relative_energy_mev_per_atom": 58, "energy_ev_per_cell": -64.52, "formation_energy_ev_per_atom": 0.16, "lattice": [[11.151, 0.000, 0.000], [0.000, 3.264, 0.000], [-1.882, 0.000, 4.199]], "species": ["Sc", "Sc", "Ta", "Ta", "Ta", "Ta", "Ag", "Ag"], "fractional_positions": [[0.000, 0.000, 0.000], [0.500, 0.500, 0.000], [0.240, 0.000, 0.740], [0.260, 0.500, 0.260], [0.740, 0.500, 0.740], [0.760, 0.000, 0.260], [0.000, 0.500, 0.500], [0.500, 0.000, 0.500]]}


{"formula": "YLu2Sb", "functional": "PBE", "state": "relaxed", "relative_energy_mev_per_atom": 0, "energy_ev_per_cell": -21.38, "lattice": [[3.901, 0.000, 0.000], [0.000, 3.901, 0.000], [0.000, 0.000, 7.353]], "species": ["Y", "Lu", "Lu", "Sb"], "fractional_positions": [[0.000, 0.000, 0.000], [0.500, 0.500, 0.276], [0.500, 0.500, 0.724], [0.000, 0.000, 0.500]]}


{"formula": "Be2TcRh", "functional": "PBE", "state": "relaxed", "relative_energy_mev_per_atom": 336, "energy_ev_per_cell": -100.51, "formation_energy_ev_per_atom": 0.01, "lattice": [[5.753, 0.000, 0.000], [0.000, 5.753, 0.000], [0.000, 0.000, 5.753]], "species": ["Be", "Be", "Be", "Be", "Be", "Be", "Be", "Be", "Tc", "Tc", "Tc", "Tc", "Rh", "Rh", "Rh", "Rh"], "fractional_positions": [[0.000, 0.000, 0.000], [0.000, 0.500, 0.500], [0.250, 0.250, 0.250], [0.250, 0.750, 0.750], [0.500, 0.000, 0.500], [0.500, 0.500, 0.000], [0.750, 0.250, 0.750], [0.750, 0.750, 0.250], [0.250, 0.250, 0.750], [0.250, 0.750, 0.250], [0.750, 0.250, 0.250], [0.750, 0.750, 0.750], [0.000, 0.000, 0.500], [0.000, 0.500, 0.000], [0.500, 0.000, 0.000], [0.500, 0.500, 0.500]]}


{"formula": "HfAl10Ru2", "functional": "PBE", "state": "relaxed", "energy_ev_per_cell": -143.28, "formation_energy_ev_per_atom": -0.44, "lattice": [[4.498, -5.056, 0.000], [4.498, 5.056, 0.000], [0.000, 0.000, 9.061]], "species": ["Hf", "Hf", "Al", "Al", "Al", "Al", "Al", "Al", "Al", "Al", "Al", "Al", "Al", "Al", "Al", "Al", "Al", "Al", "Al", "Al", "Al", "Al", "Ru", "Ru", "Ru", "Ru"], "fractional_positions": [[0.134, 0.866, 0.750], [0.866, 0.134, 0.250], [0.144, 0.856, 0.099], [0.144, 0.856, 0.401], [0.150, 0.419, 0.750], [0.216, 0.480, 0.250], [0.225, 0.225, 0.000], [0.225, 0.225, 0.500], [0.373, 0.627, 0.543], [0.373, 0.627, 0.957], [0.419, 0.150, 0.250], [0.480, 0.216, 0.750], [0.520, 0.784, 0.250], [0.581, 0.850, 0.750], [0.627, 0.373, 0.043], [0.627, 0.373, 0.457], [0.775, 0.775, 0.000], [0.775, 0.775, 0.500], [0.784, 0.520, 0.750], [0.850, 0.581, 0.250], [0.856, 0.144, 0.599], [0.856, 0.144, 0.901], [0.000, 0.500, 0.000], [0.000, 0.500, 0.500], [0.500, 0.000, 0.000], [0.500, 0.000, 0.500]]}


{"formula": "ZrOsSe2", "functional": "PBE", "state": "relaxed", "relative_energy_mev_per_atom": 244, "energy_ev_per_cell": -83.67, "lattice": [[3.640, 0.000, 0.000], [-1.820, 3.153, 0.000], [0.000, 0.000, 24.026]], "species": ["Zr", "Zr", "Zr", "Os", "Os", "Os", "Se", "Se", "Se", "Se", "Se", "Se"], "fractional_positions": [[0.000, 0.000, 0.000], [0.333, 0.667, 0.667], [0.667, 0.333, 0.333], [0.000, 0.000, 0.753], [0.333, 0.667, 0.420], [0.667, 0.333, 0.087], [0.000, 0.000, 0.264], [0.000, 0.000, 0.469], [0.333, 0.667, 0.136], [0.333, 0.667, 0.931], [0.667, 0.333, 0.598], [0.667, 0.333, 0.802]]}